Compound: BeZnOs
Source: Alexandria via LeMat-Bulk
Functional: PBE
Structure: relaxed

Results
Energy above the most stable polymorph in this dataset   133 meV per atom
M_tot   0.0 μB/f.u.
Space group   P2_1/m
Energy of formation from the pure elements   0.214 eV per atom
Calculated density   11641 kg/m3
Calculated volume   75.5 Å³/cell
Crystal system   monoclinic
Density of states at the Fermi level   3.6 states/eV per cell

Geometry as extended XYZ:
```
6
Lattice="-1.508 -1.758 1.363 -1.597 -0.731 -2.705 8.867 -3.818 -0.354" Properties=species:S:1:pos:R:3 pbc="T T T"
Os -0.366 -2.315 -2.044
Os 6.127 -3.993 0.347
Be 6.432 -5.574 -1.329
Be -0.671 -0.734 -0.368
Zn 2.304 -2.290 -1.703
Zn 3.457 -4.017 0.006
```

Compound: Be2Zn2Os
Source: Alexandria via LeMat-Bulk
Functional: PBE
Structure: relaxed

Results
M_tot   0.0 μB/f.u.
Space group   P4/mbm
Energy of formation from the pure elements   0.171 eV per atom
Calculated density   9726 kg/m3
Calculated volume   115.8 Å³/cell
Crystal system   tetragonal
Density of states at the Fermi level   4.1 states/eV per cell

Geometry as extended XYZ:
```
10
Lattice="-1.097 4.573 -4.114 0.382 -4.120 -4.682 -2.914 -0.510 0.210" Properties=species:S:1:pos:R:3 pbc="T T T"
Be -0.642 2.346 -3.213
Be -0.003 -0.918 -2.266
Be -0.711 1.371 -6.530
Be -0.072 -1.893 -5.583
Zn -1.383 -2.240 -3.686
Zn -1.761 0.599 -2.046
Zn -1.867 -0.656 -6.540
Zn -2.245 2.184 -4.900
Os 0.000 0.000 0.000
Os -0.357 0.226 -4.398
```

Compound: BeZn4Os
Source: Alexandria via LeMat-Bulk
Functional: PBE
Structure: relaxed

Results
M_tot   0.0 μB/f.u.
Space group   F-43m
Energy of formation from the pure elements   0.357 eV per atom
Calculated density   9456 kg/m3
Calculated volume   80.9 Å³/cell
Crystal system   cubic
Density of states at the Fermi level   2.1 states/eV per cell

Geometry as extended XYZ:
```
6
Lattice="-2.671 -0.507 4.023 -4.203 -2.424 -0.166 -0.381 -4.347 2.129" Properties=species:S:1:pos:R:3 pbc="T T T"
Os 0.000 0.000 0.000
Zn -4.058 -2.981 4.260
Zn -2.718 -2.727 2.242
Zn -2.909 -4.907 3.310
Zn -4.826 -3.942 2.159
Be -5.442 -5.459 4.489
```

Compound: ZrBeOs3
Source: Alexandria via LeMat-Bulk
Functional: PBE
Structure: relaxed

Results
Energy above the most stable polymorph in this dataset   0 meV per atom
M_tot   0.0 μB/f.u.
Space group   Pm-3m
Energy of formation from the pure elements   0.111 eV per atom
Calculated density   15118 kg/m3
Calculated volume   73.7 Å³/cell
Crystal system   cubic
Density of states at the Fermi level   5.4 states/eV per cell

Geometry as extended XYZ:
```
5
Lattice="4.193 0.000 0.000 0.000 4.193 0.000 0.000 0.000 4.193" Properties=species:S:1:pos:R:3 pbc="T T T"
Os 2.096 0.000 0.000
Os 0.000 2.096 0.000
Os 0.000 0.000 2.096
Zr 2.096 2.096 2.096
Be 0.000 0.000 0.000
```

Compound: Zr3Be8Os
Source: Alexandria via LeMat-Bulk
Functional: PBE
Structure: relaxed

Results
M_tot   0.0 μB/f.u.
Space group   R3m
Energy of formation from the pure elements   -0.210 eV per atom
Calculated density   6136 kg/m3
Calculated volume   145.1 Å³/cell
Crystal system   trigonal
Density of states at the Fermi level   6.1 states/eV per cell

Geometry as extended XYZ:
```
12
Lattice="-3.470 -2.978 0.890 -0.277 -4.019 -2.338 3.080 -5.766 4.907" Properties=species:S:1:pos:R:3 pbc="T T T"
Zr -0.368 -6.355 1.687
Zr 1.278 -7.661 3.736
Zr -3.718 -7.020 -1.412
Os -2.118 -8.290 0.581
Be 0.273 -9.008 1.532
Be 0.641 -3.832 1.871
Be -1.151 -6.194 -0.828
Be -1.011 -4.175 0.347
Be -2.755 -5.671 0.794
Be -1.290 -8.498 3.112
Be -1.426 -10.466 1.967
Be 0.310 -10.216 3.603
```

Compound: ZrBe9Os2
Source: Alexandria via LeMat-Bulk
Functional: PBE
Structure: relaxed

Results
M_tot   0.0 μB/f.u.
Space group   R-3m
Energy of formation from the pure elements   -0.302 eV per atom
Calculated density   7756 kg/m3
Calculated volume   118.3 Å³/cell
Crystal system   trigonal
Density of states at the Fermi level   4.5 states/eV per cell

Geometry as extended XYZ:
```
12
Lattice="4.413 0.000 0.000 2.206 3.822 0.000 2.206 1.274 7.018" Properties=species:S:1:pos:R:3 pbc="T T T"
Os 2.206 1.274 4.027
Os 6.619 3.822 2.991
Be 3.290 3.196 5.189
Be 4.413 3.844 1.828
Be 3.290 1.899 1.828
Be 5.536 3.196 5.189
Be 5.536 1.899 1.828
Be 2.206 1.274 0.007
Be 4.413 1.251 5.189
Be 6.619 3.822 7.010
Be 4.413 2.548 3.509
Zr 0.000 0.000 0.000
```

Look up the calculated density of the third one.
9456 kg/m3

What is the formula in the first record?
BeZnOs

Look up the calculated volume of the fourth one.
73.7 Å³/cell